{
  "formula": "V3CrO10",
  "functional": "GGA-PBEsol",
  "state": "relaxed",
  "lattice_angstrom": [[-0.774, 3.495, -1.990], [2.042, -2.710, -5.554], [-6.056, -2.042, -1.230]],
  "species": ["O", "O", "O", "O", "V", "Cr", "O", "O", "O", "O", "O", "V", "V", "O"],
  "fractional_positions": [[0.233, 0.719, 0.500], [0.230, 0.000, 0.210], [0.770, 0.210, 0.000], [0.248, 0.500, 0.000], [0.000, 0.500, 0.500], [0.000, 0.000, 0.000], [0.767, 0.500, 0.281], [0.770, 0.790, 0.000], [0.767, 0.500, 0.719], [0.230, 0.000, 0.790], [0.233, 0.281, 0.500], [0.143, 0.000, 0.500], [0.857, 0.500, 0.000], [0.752, 0.000, 0.500]],
  "e_tot_ev_per_atom": -8.6466,
  "e_form_raw_ev_per_atom": -2.10
}

=====

{
  "formula": "VCrO4",
  "functional": "GGA-PBEsol",
  "state": "relaxed",
  "lattice_angstrom": [[5.269, 0.556, -0.276], [-2.102, 4.863, 0.276], [2.217, 2.339, 4.214]],
  "species": ["O", "V", "O", "O", "O", "O", "O", "O", "Cr", "V", "Cr", "O"],
  "fractional_positions": [[0.450, 0.698, 0.251], [0.250, 0.984, 0.766], [0.004, 0.801, 0.195], [0.504, 0.199, 0.298], [0.996, 0.199, 0.805], [0.050, 0.299, 0.251], [0.496, 0.801, 0.702], [0.550, 0.302, 0.749], [0.500, 0.500, 0.000], [0.750, 0.016, 0.234], [0.000, 0.500, 0.500], [0.950, 0.701, 0.749]],
  "e_tot_ev_per_atom": -8.9807,
  "e_form_raw_ev_per_atom": -2.17
}

=====

{
  "formula": "V3CrO8",
  "functional": "GGA-PBEsol",
  "state": "relaxed",
  "lattice_angstrom": [[-3.120, 1.727, 1.057], [-1.661, -5.276, -2.827], [1.196, -1.500, 5.985]],
  "species": ["V", "Cr", "O", "O", "V", "O", "O", "O", "O", "O", "V", "O"],
  "fractional_positions": [[0.599, 0.197, 0.707], [0.296, 0.593, 0.697], [0.761, 0.521, 0.648], [0.868, 0.737, 0.309], [0.399, 0.799, 0.280], [0.557, 0.115, 0.361], [0.359, 0.719, 0.999], [0.444, 0.889, 0.642], [0.133, 0.266, 0.703], [0.239, 0.478, 0.352], [0.702, 0.403, 0.292], [0.643, 0.285, 0.010]],
  "e_tot_ev_per_atom": -9.0425,
  "e_form_raw_ev_per_atom": -2.28
}

=====

{
  "formula": "VCrO4",
  "functional": "GGA-PBEsol",
  "state": "relaxed",
  "lattice_angstrom": [[4.953, 0.016, 0.000], [-1.881, 4.582, 0.000], [0.000, 0.000, 5.997]],
  "species": ["Cr", "O", "O", "Cr", "O", "O", "O", "V", "O", "V", "O", "O"],
  "fractional_positions": [[0.000, 0.000, 0.000], [0.252, 0.211, 0.250], [0.768, 0.232, 0.030], [0.000, 0.000, 0.500], [0.232, 0.768, 0.530], [0.232, 0.768, 0.970], [0.211, 0.252, 0.750], [0.644, 0.356, 0.250], [0.768, 0.232, 0.470], [0.356, 0.644, 0.750], [0.748, 0.789, 0.750], [0.789, 0.748, 0.250]],
  "e_tot_ev_per_atom": -8.9731,
  "e_form_raw_ev_per_atom": -2.16
}

=====

{
  "formula": "VCrO3",
  "functional": "GGA-PBEsol",
  "state": "relaxed",
  "lattice_angstrom": [[-0.564, 4.732, 1.438], [-2.619, 1.060, 4.098], [2.725, 1.623, 4.344]],
  "species": ["V", "Cr", "O", "O", "O", "O", "Cr", "O", "O", "V"],
  "fractional_positions": [[0.651, 0.651, 0.048], [0.851, 0.851, 0.447], [0.753, 0.442, 0.752], [0.442, 0.054, 0.752], [0.942, 0.253, 0.252], [0.054, 0.753, 0.752], [0.351, 0.351, 0.947], [0.253, 0.554, 0.252], [0.554, 0.942, 0.252], [0.151, 0.151, 0.548]],
  "e_tot_ev_per_atom": -9.1762,
  "e_form_raw_ev_per_atom": -2.05
}

=====

{
  "formula": "VCrO3",
  "functional": "GGA-PBEsol",
  "state": "relaxed",
  "lattice_angstrom": [[4.881, -0.010, 0.003], [2.431, 4.830, -0.050], [0.009, 2.568, 7.984]],
  "species": ["V", "O", "O", "Cr", "O", "O", "O", "O", "O", "O", "O", "V", "O", "V", "V", "O", "O", "Cr", "Cr", "Cr"],
  "fractional_positions": [[0.270, 0.472, 0.428], [0.808, 0.754, 0.370], [0.311, 0.747, 0.880], [0.763, 0.470, 0.915], [0.777, 0.754, 0.713], [0.281, 0.753, 0.536], [0.191, 0.251, 0.629], [0.284, 0.751, 0.218], [0.791, 0.740, 0.031], [0.722, 0.244, 0.464], [0.221, 0.246, 0.287], [0.986, 0.035, 0.326], [0.212, 0.258, 0.969], [0.736, 0.532, 0.575], [0.485, 0.029, 0.834], [0.685, 0.248, 0.122], [0.710, 0.251, 0.779], [0.519, 0.961, 0.163], [0.232, 0.535, 0.083], [0.015, 0.970, 0.677]],
  "e_tot_ev_per_atom": -9.2279,
  "e_form_raw_ev_per_atom": -2.10
}

=====

{
  "formula": "V4Cr2O13",
  "functional": "GGA-PBEsol",
  "state": "relaxed",
  "lattice_angstrom": [[8.261, 0.000, -0.001], [0.000, 9.282, 0.000], [-3.294, 0.000, 14.151]],
  "species": ["V", "O", "Cr", "V", "O", "O", "Cr", "V", "V", "V", "O", "O", "O", "O", "Cr", "O", "V", "O", "O", "V", "V", "O", "O", "O", "O", "O", "O", "O", "V", "V", "O", "O", "O", "O", "O", "O", "O", "O", "O", "O", "O", "O", "O", "O", "Cr", "V", "O", "O", "O", "O", "V", "O", "O", "V", "V", "O", "O", "O", "O", "O", "O", "Cr", "O", "O", "O", "V", "Cr", "V", "O", "O", "O", "O", "Cr", "O", "Cr", "O"],
  "fractional_positions": [[0.863, 0.262, 0.673], [0.144, 0.130, 0.920], [0.187, 0.501, 0.007], [0.956, 0.293, 0.408], [0.847, 0.213, 0.788], [0.856, 0.630, 0.580], [0.187, 0.999, 0.507], [0.742, 0.777, 0.831], [0.463, 0.290, 0.907], [0.258, 0.223, 0.169], [0.492, 0.114, 0.954], [0.151, 0.616, 0.895], [0.610, 0.726, 0.217], [0.351, 0.870, 0.570], [0.813, 0.499, 0.993], [0.649, 0.370, 0.930], [0.742, 0.723, 0.331], [0.153, 0.787, 0.212], [0.153, 0.713, 0.712], [0.956, 0.207, 0.908], [0.258, 0.277, 0.669], [0.492, 0.386, 0.454], [0.012, 0.885, 0.548], [0.281, 0.614, 0.374], [0.847, 0.287, 0.288], [0.333, 0.385, 0.956], [0.988, 0.115, 0.452], [0.845, 0.116, 0.971], [0.537, 0.710, 0.093], [0.463, 0.210, 0.407], [0.849, 0.116, 0.605], [0.061, 0.340, 0.680], [0.719, 0.386, 0.626], [0.667, 0.885, 0.544], [0.667, 0.615, 0.044], [0.151, 0.884, 0.395], [0.670, 0.890, 0.901], [0.390, 0.274, 0.783], [0.649, 0.130, 0.430], [0.351, 0.630, 0.070], [0.508, 0.614, 0.546], [0.390, 0.226, 0.283], [0.939, 0.660, 0.320], [0.849, 0.384, 0.105], [0.688, 0.999, 0.014], [0.137, 0.738, 0.327], [0.155, 0.616, 0.529], [0.333, 0.115, 0.456], [0.772, 0.886, 0.381], [0.988, 0.385, 0.952], [0.044, 0.793, 0.092], [0.012, 0.615, 0.048], [0.144, 0.370, 0.420], [0.137, 0.762, 0.827], [0.863, 0.238, 0.173], [0.719, 0.114, 0.126], [0.845, 0.384, 0.471], [0.228, 0.386, 0.119], [0.610, 0.774, 0.717], [0.155, 0.884, 0.029], [0.061, 0.160, 0.180], [0.688, 0.501, 0.514], [0.281, 0.886, 0.874], [0.670, 0.610, 0.401], [0.856, 0.870, 0.080], [0.044, 0.707, 0.592], [0.813, 0.001, 0.493], [0.537, 0.790, 0.593], [0.330, 0.390, 0.599], [0.939, 0.840, 0.820], [0.508, 0.886, 0.046], [0.330, 0.110, 0.099], [0.312, 0.499, 0.486], [0.228, 0.114, 0.619], [0.312, 0.001, 0.986], [0.772, 0.614, 0.881]],
  "e_tot_ev_per_atom": -8.9386,
  "e_form_raw_ev_per_atom": -2.24
}

=====

{
  "formula": "VCrO3",
  "functional": "GGA-PBEsol",
  "state": "relaxed",
  "lattice_angstrom": [[-4.587, -0.254, -1.424], [-2.438, -4.844, 0.342], [-2.589, -0.638, 7.980]],
  "species": ["V", "Cr", "V", "O", "O", "O", "O", "O", "Cr", "O", "O", "V", "O", "V", "O", "O", "O", "O", "Cr", "Cr"],
  "fractional_positions": [[0.010, 0.973, 0.168], [0.483, 0.029, 0.320], [0.745, 0.466, 0.435], [0.468, 0.738, 0.224], [0.978, 0.758, 0.710], [0.037, 0.255, 0.966], [0.551, 0.254, 0.117], [0.946, 0.742, 0.373], [0.739, 0.520, 0.086], [0.054, 0.258, 0.627], [0.533, 0.235, 0.464], [0.255, 0.534, 0.565], [0.532, 0.262, 0.776], [0.990, 0.027, 0.832], [0.022, 0.242, 0.290], [0.963, 0.745, 0.034], [0.449, 0.746, 0.883], [0.467, 0.765, 0.536], [0.261, 0.480, 0.914], [0.517, 0.971, 0.680]],
  "e_tot_ev_per_atom": -9.2396,
  "e_form_raw_ev_per_atom": -2.11
}

=====

{
  "formula": "V5CrO12",
  "functional": "GGA-PBEsol",
  "state": "relaxed",
  "lattice_angstrom": [[-2.128, 4.895, -1.655], [-6.078, -1.457, -2.298], [-3.294, 2.322, 5.301]],
  "species": ["O", "V", "O", "V", "O", "O", "O", "O", "V", "V", "O", "O", "V", "Cr", "O", "O", "O", "O"],
  "fractional_positions": [[0.016, 0.363, 0.909], [0.000, 0.086, 0.914], [0.486, 0.632, 0.083], [0.507, 0.799, 0.607], [0.186, 0.382, 0.339], [0.381, 0.964, 0.818], [0.619, 0.182, 0.036], [0.814, 0.661, 0.618], [0.493, 0.393, 0.201], [0.003, 0.609, 0.801], [0.121, 0.029, 0.181], [0.984, 0.091, 0.637], [0.997, 0.199, 0.391], [0.500, 0.915, 0.085], [0.514, 0.917, 0.368], [0.312, 0.620, 0.662], [0.879, 0.819, 0.971], [0.688, 0.338, 0.380]],
  "e_tot_ev_per_atom": -8.9929,
  "e_form_raw_ev_per_atom": -2.25
}

=====

{
  "formula": "V2CrO6",
  "functional": "GGA-PBEsol",
  "state": "relaxed",
  "lattice_angstrom": [[5.423, -0.004, -0.004], [1.818, 6.480, -0.023], [1.818, 0.433, 6.466]],
  "species": ["V", "O", "O", "O", "V", "O", "V", "O", "O", "Cr", "O", "O", "O", "O", "O", "Cr", "O", "V"],
  "fractional_positions": [[0.029, 0.389, 0.194], [0.719, 0.384, 0.345], [0.885, 0.969, 0.815], [0.384, 0.824, 0.980], [0.971, 0.806, 0.611], [0.470, 0.089, 0.644], [0.558, 0.172, 0.394], [0.281, 0.655, 0.616], [0.616, 0.020, 0.176], [0.500, 0.078, 0.922], [0.241, 0.326, 0.353], [0.115, 0.185, 0.031], [0.759, 0.647, 0.674], [0.047, 0.625, 0.050], [0.530, 0.356, 0.911], [0.000, 0.919, 0.081], [0.953, 0.950, 0.375], [0.442, 0.606, 0.828]],
  "e_tot_ev_per_atom": -8.9598,
  "e_form_raw_ev_per_atom": -2.18
}

=====

{
  "formula": "VCrO4",
  "functional": "GGA-PBEsol",
  "state": "relaxed",
  "lattice_angstrom": [[6.543, 0.008, 0.035], [0.667, 6.509, 0.035], [1.523, 1.376, 6.493]],
  "species": ["O", "O", "V", "O", "Cr", "V", "V", "O", "O", "O", "O", "O", "O", "O", "Cr", "O", "Cr", "V", "O", "O", "O", "O", "O", "Cr"],
  "fractional_positions": [[0.139, 0.139, 0.958], [0.472, 0.797, 0.971], [0.750, 0.250, 0.500], [0.794, 0.502, 0.389], [0.819, 0.181, 0.000], [0.728, 0.728, 0.896], [0.250, 0.750, 0.500], [0.892, 0.197, 0.704], [0.197, 0.892, 0.704], [0.861, 0.861, 0.042], [0.498, 0.206, 0.611], [0.206, 0.498, 0.611], [0.502, 0.794, 0.389], [0.108, 0.803, 0.296], [0.797, 0.797, 0.357], [0.205, 0.205, 0.366], [0.203, 0.203, 0.643], [0.272, 0.272, 0.104], [0.795, 0.795, 0.634], [0.528, 0.203, 0.029], [0.803, 0.108, 0.296], [0.203, 0.528, 0.029], [0.797, 0.472, 0.971], [0.181, 0.819, 0.000]],
  "e_tot_ev_per_atom": -8.9779,
  "e_form_raw_ev_per_atom": -2.17
}

=====

{
  "formula": "V3Cr3W2O16",
  "functional": "GGA-PBEsol",
  "state": "relaxed",
  "lattice_angstrom": [[-2.367, -3.390, -4.109], [1.614, -2.307, 5.088], [-8.212, 1.847, 3.443]],
  "species": ["O", "O", "O", "O", "O", "O", "O", "O", "Cr", "Cr", "W", "O", "V", "O", "O", "V", "O", "V", "O", "O", "O", "Cr", "W", "O"],
  "fractional_positions": [[0.178, 0.829, 0.901], [0.004, 0.002, 0.698], [0.004, 0.002, 0.199], [0.834, 0.179, 0.404], [0.520, 0.042, 0.656], [0.520, 0.478, 0.656], [0.178, 0.349, 0.901], [0.351, 0.175, 0.398], [0.828, 0.168, 0.790], [0.828, 0.660, 0.790], [0.670, 0.335, 0.508], [0.951, 0.476, 0.666], [0.164, 0.344, 0.282], [0.474, 0.951, 0.163], [0.834, 0.655, 0.404], [0.164, 0.820, 0.283], [0.332, 0.666, 0.396], [0.340, 0.170, 0.777], [0.653, 0.327, 0.894], [0.474, 0.523, 0.163], [0.037, 0.518, 0.152], [0.665, 0.832, 0.293], [0.341, 0.671, 0.006], [0.658, 0.829, 0.905]],
  "e_tot_ev_per_atom": -9.1856,
  "e_form_raw_ev_per_atom": -2.05
}

=====

{
  "formula": "CrWO3",
  "functional": "GGA-PBEsol",
  "state": "relaxed",
  "lattice_angstrom": [[-1.983, -2.016, 2.404], [1.732, -3.075, -1.150], [2.616, 0.508, 2.584]],
  "species": ["W", "Cr", "O", "O", "O"],
  "fractional_positions": [[0.500, 0.500, 0.500], [0.000, 0.000, 0.000], [0.000, 0.500, 0.000], [0.500, 0.000, 0.000], [0.000, 0.000, 0.500]],
  "e_tot_ev_per_atom": -8.4062,
  "e_form_raw_ev_per_atom": -0.45
}

=====

{
  "formula": "CrWO3",
  "functional": "GGA-PBEsol",
  "state": "relaxed",
  "lattice_angstrom": [[-2.191, -1.407, -2.888], [2.669, -2.743, -0.689], [-1.787, -2.370, 2.511]],
  "species": ["O", "Cr", "W", "O", "O"],
  "fractional_positions": [[0.500, 0.000, 0.000], [0.500, 0.500, 0.500], [0.000, 0.000, 0.000], [0.000, 0.500, 0.000], [0.000, 0.000, 0.500]],
  "e_tot_ev_per_atom": -9.2104,
  "e_form_raw_ev_per_atom": -1.25
}

=====

{
  "formula": "CrWO2",
  "functional": "GGA-PBEsol",
  "state": "relaxed",
  "lattice_angstrom": [[2.696, 0.000, 0.000], [1.348, 2.335, 0.000], [1.348, 0.778, 6.640]],
  "species": ["Cr", "O", "W", "O"],
  "fractional_positions": [[0.000, 0.000, 0.000], [0.095, 0.095, 0.715], [0.500, 0.500, 0.500], [0.905, 0.905, 0.285]],
  "e_tot_ev_per_atom": -9.6297,
  "e_form_raw_ev_per_atom": -0.99
}

=====

{
  "formula": "YCrW2O8",
  "functional": "GGA-PBEsol",
  "state": "relaxed",
  "lattice_angstrom": [[5.047, 0.000, -0.051], [0.000, 5.580, 0.000], [-0.508, 0.000, 9.706]],
  "species": ["O", "O", "W", "W", "O", "W", "O", "O", "Y", "O", "O", "Y", "O", "O", "O", "O", "O", "Cr", "O", "O", "O", "Cr", "W", "O"],
  "fractional_positions": [[0.914, 0.352, 0.639], [0.131, 0.621, 0.878], [0.725, 0.142, 0.508], [0.275, 0.858, 0.492], [0.920, 0.876, 0.126], [0.225, 0.858, 0.008], [0.869, 0.379, 0.122], [0.074, 0.117, 0.406], [0.750, 0.663, 0.750], [0.369, 0.621, 0.622], [0.631, 0.379, 0.378], [0.250, 0.337, 0.250], [0.420, 0.124, 0.626], [0.586, 0.352, 0.861], [0.426, 0.117, 0.094], [0.080, 0.124, 0.874], [0.086, 0.648, 0.361], [0.250, 0.347, 0.750], [0.574, 0.883, 0.906], [0.926, 0.883, 0.594], [0.580, 0.876, 0.374], [0.750, 0.653, 0.250], [0.775, 0.142, 0.992], [0.414, 0.648, 0.139]],
  "e_tot_ev_per_atom": -9.5565,
  "e_form_raw_ev_per_atom": -2.33
}